A plane-wave DFT calculation with PBE was carried out for an optimized crystal structure of NdZn2Cu5.

Summary:
Total DFT energy (no corrections)   -0.13054 Ha/atom

Unit cell a=6.2940 b=6.2940 c=6.2940 alpha=144.72 beta=114.40 gamma=76.73
Atoms (fractional coordinates):
Nd: 0.0000 0.0000 0.0000
Zn: 0.2503 0.7503 0.5000
Zn: 0.7497 0.2497 0.5000
Cu: 0.1876 0.3709 0.8167
Cu: 0.4458 0.6291 0.8167
Cu: 0.5000 0.0000 0.5000
Cu: 0.5542 0.3709 0.1833
Cu: 0.8124 0.6291 0.1833

A plane-wave DFT calculation with PBE was carried out for an optimized crystal structure of NdZn4Cu2.

Summary:
Offset from the most stable computed form   0.05 eV/f.u.

Unit cell a=7.2241 b=7.2241 c=4.1561 alpha=90.00 beta=90.00 gamma=146.52
Atoms (fractional coordinates):
Nd: 0.0000 0.0000 0.0000
Zn: 0.1874 0.8126 0.5000
Zn: 0.3124 0.6876 0.0000
Zn: 0.6876 0.3124 0.0000
Zn: 0.8126 0.1874 0.5000
Cu: 0.4127 0.5873 0.5000
Cu: 0.5873 0.4127 0.5000

A plane-wave DFT calculation with PBE was carried out for an optimized crystal structure of Nd2Zn15Cu2.

Summary:
Total DFT energy (no corrections)   -0.08002 Ha/atom

Unit cell a=6.8142 b=6.8142 c=6.8142 alpha=82.65 beta=82.65 gamma=82.65
Atoms (fractional coordinates):
Nd: 0.1640 0.1640 0.1640
Nd: 0.8360 0.8360 0.8360
Zn: 0.0000 0.5000 0.5000
Zn: 0.1506 0.1506 0.6567
Zn: 0.1506 0.6567 0.1506
Zn: 0.2125 0.5000 0.7875
Zn: 0.2125 0.7875 0.5000
Zn: 0.3433 0.8494 0.8494
Zn: 0.5000 0.0000 0.5000
Zn: 0.5000 0.2125 0.7875
Zn: 0.5000 0.5000 0.0000
Zn: 0.5000 0.7875 0.2125
Zn: 0.6567 0.1506 0.1506
Zn: 0.7875 0.2125 0.5000
Zn: 0.7875 0.5000 0.2125
Zn: 0.8494 0.3433 0.8494
Zn: 0.8494 0.8494 0.3433
Cu: 0.4012 0.4012 0.4012
Cu: 0.5988 0.5988 0.5988

A plane-wave DFT calculation with PBE was carried out for an optimized crystal structure of Nd3ZnCu.

Summary:
Total DFT energy (no corrections)   -0.15075 Ha/atom

Unit cell a=10.2156 b=10.2156 c=5.1799 alpha=90.00 beta=90.00 gamma=150.66
Atoms (fractional coordinates):
Nd: 0.0677 0.9323 0.7500
Nd: 0.2491 0.7509 0.7500
Nd: 0.4303 0.5697 0.7500
Nd: 0.5697 0.4303 0.2500
Nd: 0.7509 0.2491 0.2500
Nd: 0.9323 0.0677 0.2500
Zn: 0.1578 0.8422 0.2500
Zn: 0.8422 0.1578 0.7500
Cu: 0.3386 0.6614 0.2500
Cu: 0.6614 0.3386 0.7500

These records have M_tot values of 0.00, 0.00, 0.00, 0.00 Bohr magnetons per cell, in the order they appear.